# LiSb2Br | the Alexandria database | PBE-GGA | optimized geometry
data_LiSb2Br
_cell_length_a 5.2301
_cell_length_b 5.2301
_cell_length_c 5.2301
_cell_angle_alpha 60.00
_cell_angle_beta 60.00
_cell_angle_gamma 60.00
_symmetry_space_group_name_H-M 'P 1'
_symmetry_Int_Tables_number 1
loop_
_symmetry_equiv_pos_as_xyz
'x,y,z'
loop_
_atom_site_label
_atom_site_fract_x
_atom_site_fract_y
_atom_site_fract_z
Li1 0.0000 0.0000 0.0000
Sb1 0.2500 0.2500 0.2500
Sb2 0.7500 0.7500 0.7500
Br1 0.5000 0.5000 0.5000
# Theoretical density ... 5.42 g/cm3
# Formation energy (no corrections) ... 16.3 kJ/mol of atoms
# Volume ... 101.2 Å³/f.u.
# ΔE to the lowest computed polymorph ... 857 meV per atom
# Symmetry ... Fm-3m (225)

# Sc2InMo | the Alexandria database | PBE-GGA | optimized geometry
data_Sc2InMo
_cell_length_a 3.0076
_cell_length_b 5.0596
_cell_length_c 5.3398
_cell_angle_alpha 90.00
_cell_angle_beta 90.00
_cell_angle_gamma 90.00
_symmetry_space_group_name_H-M 'P 1'
_symmetry_Int_Tables_number 1
loop_
_symmetry_equiv_pos_as_xyz
'x,y,z'
loop_
_atom_site_label
_atom_site_fract_x
_atom_site_fract_y
_atom_site_fract_z
Sc1 0.0000 0.0000 0.0000
Sc2 0.0000 0.5000 0.3570
In1 0.5000 0.5000 0.8368
Mo1 0.5000 0.0000 0.4959
# Theoretical density ... 6.14 g/cm3
# Volume ... 81.3 Å³/f.u.
# Total energy ... -26.31 eV/cell
# Symmetry ... Pmm2 (25)

# RbBa2AsSe4 | the Alexandria database | PBE-GGA | optimized geometry
data_RbBa2AsSe4
_cell_length_a 8.5039
_cell_length_b 8.6509
_cell_length_c 8.9762
_cell_angle_alpha 71.93
_cell_angle_beta 70.56
_cell_angle_gamma 72.50
_symmetry_space_group_name_H-M 'P 1'
_symmetry_Int_Tables_number 1
loop_
_symmetry_equiv_pos_as_xyz
'x,y,z'
loop_
_atom_site_label
_atom_site_fract_x
_atom_site_fract_y
_atom_site_fract_z
Rb1 0.0000 0.0000 0.0000
Rb2 0.4968 0.0357 0.9212
Ba1 0.0035 0.5636 0.4247
Ba2 0.2330 0.0227 0.4472
Ba3 0.4983 0.4899 0.5065
Ba4 0.9678 0.4893 0.9216
As1 0.4446 0.5446 0.9652
As2 0.7005 0.0294 0.4883
Se1 0.2081 0.2783 0.6690
Se2 0.2528 0.3547 0.1321
Se3 0.2658 0.7108 0.7790
Se4 0.3036 0.7538 0.2420
Se5 0.6729 0.8655 0.3242
Se6 0.6964 0.3762 0.7959
Se7 0.8713 0.2384 0.3108
Se8 0.8933 0.8530 0.6544
# Theoretical density ... 4.32 g/cm3
# Formation energy (no corrections) ... -121.5 kJ/mol of atoms
# Volume ... 288.7 Å³/f.u.
# Symmetry ... P1 (1)

# DyPu4 | the Alexandria database | PBE-GGA | optimized geometry
data_DyPu4
_cell_length_a 5.5739
_cell_length_b 5.5739
_cell_length_c 5.5739
_cell_angle_alpha 90.00
_cell_angle_beta 90.00
_cell_angle_gamma 90.00
_symmetry_space_group_name_H-M 'P 1'
_symmetry_Int_Tables_number 1
loop_
_symmetry_equiv_pos_as_xyz
'x,y,z'
loop_
_atom_site_label
_atom_site_fract_x
_atom_site_fract_y
_atom_site_fract_z
Dy1 0.0000 0.0000 0.0000
Pu1 0.0000 0.0000 0.5000
Pu2 0.0000 0.5000 0.0000
Pu3 0.5000 0.0000 0.0000
Pu4 0.5000 0.5000 0.5000
# Theoretical density ... 10.92 g/cm3
# Volume ... 173.2 Å³/f.u.
# Total energy ... -55.82 eV/cell
# Symmetry ... Pm-3m (221)

# LiPr4Er3Te8 | the Alexandria database | PBE-GGA | optimized geometry
data_LiPr4Er3Te8
_cell_length_a 8.9316
_cell_length_b 8.9316
_cell_length_c 8.9316
_cell_angle_alpha 58.62
_cell_angle_beta 58.62
_cell_angle_gamma 58.62
_symmetry_space_group_name_H-M 'P 1'
_symmetry_Int_Tables_number 1
loop_
_symmetry_equiv_pos_as_xyz
'x,y,z'
loop_
_atom_site_label
_atom_site_fract_x
_atom_site_fract_y
_atom_site_fract_z
Li1 0.0000 0.0000 0.0000
Pr1 0.0000 0.0000 0.5000
Pr2 0.0000 0.5000 0.0000
Pr3 0.5000 0.0000 0.0000
Pr4 0.5000 0.5000 0.5000
Er1 0.0000 0.5000 0.5000
Er2 0.5000 0.0000 0.5000
Er3 0.5000 0.5000 0.0000
Te1 0.2400 0.2400 0.7485
Te2 0.2400 0.7485 0.2400
Te3 0.2515 0.7600 0.7600
Te4 0.2558 0.2558 0.2558
Te5 0.7442 0.7442 0.7442
Te6 0.7485 0.2400 0.2400
Te7 0.7600 0.2515 0.7600
Te8 0.7600 0.7600 0.2515
# Theoretical density ... 7.12 g/cm3
# Formation energy (no corrections) ... -129.9 kJ/mol of atoms
# Volume ... 488.0 Å³/f.u.
# Symmetry ... R-3m (166)

# Pm2Er2S5 | the Alexandria database | PBE-GGA | optimized geometry
data_Pm2Er2S5
_cell_length_a 10.0866
_cell_length_b 10.0866
_cell_length_c 10.0866
_cell_angle_alpha 62.21
_cell_angle_beta 134.23
_cell_angle_gamma 140.25
_symmetry_space_group_name_H-M 'P 1'
_symmetry_Int_Tables_number 1
loop_
_symmetry_equiv_pos_as_xyz
'x,y,z'
loop_
_atom_site_label
_atom_site_fract_x
_atom_site_fract_y
_atom_site_fract_z
Pm1 0.0665 0.0968 0.1634
Pm2 0.0665 0.4032 0.4697
Pm3 0.9335 0.5968 0.5303
Pm4 0.9335 0.9032 0.8366
Er1 0.3767 0.7270 0.1497
Er2 0.5262 0.0262 0.5000
Er3 0.5262 0.5262 0.0000
Er4 0.5773 0.2270 0.8503
S1 0.0149 0.3449 0.1700
S2 0.0190 0.2572 0.8197
S3 0.0190 0.6993 0.2618
S4 0.1749 0.8449 0.8300
S5 0.4376 0.1993 0.1803
S6 0.4376 0.7572 0.7382
S7 0.5040 0.2517 0.5419
S8 0.5040 0.4621 0.7522
S9 0.7099 0.7517 0.2478
S10 0.7099 0.9621 0.4581
# Theoretical density ... 5.61 g/cm3
# Formation energy (no corrections) ... -174.5 kJ/mol of atoms
# Volume ... 232.4 Å³/f.u.
# Symmetry ... Ima2 (46)

# CoHIr2Au | the Alexandria database | PBE-GGA | optimized geometry
data_CoHIr2Au
_cell_length_a 4.3999
_cell_length_b 4.3999
_cell_length_c 4.8218
_cell_angle_alpha 90.00
_cell_angle_beta 90.00
_cell_angle_gamma 90.00
_symmetry_space_group_name_H-M 'P 1'
_symmetry_Int_Tables_number 1
loop_
_symmetry_equiv_pos_as_xyz
'x,y,z'
loop_
_atom_site_label
_atom_site_fract_x
_atom_site_fract_y
_atom_site_fract_z
Co1 0.0000 0.0000 0.0000
H1 0.5000 0.5000 0.5000
Ir1 0.0000 0.5000 0.0000
Ir2 0.5000 0.0000 0.0000
Au1 0.0000 0.0000 0.5000
# Theoretical density ... 11.41 g/cm3
# Volume ... 93.3 Å³/f.u.
# Total energy ... -22.10 eV/cell
# Symmetry ... P4/mmm (123)

# K4Dy3PuS8 | the Alexandria database | PBE-GGA | optimized geometry
data_K4Dy3PuS8
_cell_length_a 8.7315
_cell_length_b 8.7315
_cell_length_c 8.7315
_cell_angle_alpha 55.63
_cell_angle_beta 55.63
_cell_angle_gamma 55.63
_symmetry_space_group_name_H-M 'P 1'
_symmetry_Int_Tables_number 1
loop_
_symmetry_equiv_pos_as_xyz
'x,y,z'
loop_
_atom_site_label
_atom_site_fract_x
_atom_site_fract_y
_atom_site_fract_z
K1 0.0000 0.0000 0.0000
K2 0.0000 0.5000 0.5000
K3 0.5000 0.0000 0.5000
K4 0.5000 0.5000 0.0000
Dy1 0.0000 0.0000 0.5000
Dy2 0.0000 0.5000 0.0000
Dy3 0.5000 0.0000 0.0000
Pu1 0.5000 0.5000 0.5000
S1 0.2305 0.7354 0.7354
S2 0.2340 0.2340 0.2340
S3 0.2646 0.2646 0.7695
S4 0.2646 0.7695 0.2646
S5 0.7354 0.2305 0.7354
S6 0.7354 0.7354 0.2305
S7 0.7660 0.7660 0.7660
S8 0.7695 0.2646 0.2646
# Theoretical density ... 4.49 g/cm3
# Formation energy (no corrections) ... -173.9 kJ/mol of atoms
# Volume ... 422.9 Å³/f.u.
# Symmetry ... R-3m (166)

# TlCoBr2 | the Alexandria database | PBE-GGA | optimized geometry
data_TlCoBr2
_cell_length_a 3.6626
_cell_length_b 3.6626
_cell_length_c 8.5314
_cell_angle_alpha 90.00
_cell_angle_beta 90.00
_cell_angle_gamma 90.00
_symmetry_space_group_name_H-M 'P 1'
_symmetry_Int_Tables_number 1
loop_
_symmetry_equiv_pos_as_xyz
'x,y,z'
loop_
_atom_site_label
_atom_site_fract_x
_atom_site_fract_y
_atom_site_fract_z
Tl1 0.0000 0.0000 0.0000
Co1 0.5000 0.5000 0.5048
Br1 0.0000 0.0000 0.5776
Br2 0.5000 0.5000 0.2222
# Theoretical density ... 6.14 g/cm3
# Formation energy (no corrections) ... -11.5 kJ/mol of atoms
# Volume ... 114.4 Å³/f.u.
# ΔE to the lowest computed polymorph ... 130 meV per atom
# Symmetry ... P4mm (99)

# BaBe2AuSe | the Alexandria database | PBE-GGA | optimized geometry
data_BaBe2AuSe
_cell_length_a 4.5147
_cell_length_b 4.5147
_cell_length_c 5.8973
_cell_angle_alpha 90.00
_cell_angle_beta 90.00
_cell_angle_gamma 90.00
_symmetry_space_group_name_H-M 'P 1'
_symmetry_Int_Tables_number 1
loop_
_symmetry_equiv_pos_as_xyz
'x,y,z'
loop_
_atom_site_label
_atom_site_fract_x
_atom_site_fract_y
_atom_site_fract_z
Ba1 0.0000 0.0000 0.0000
Be1 0.0000 0.5000 0.5000
Be2 0.5000 0.0000 0.5000
Au1 0.5000 0.5000 0.5000
Se1 0.5000 0.5000 0.0000
# Theoretical density ... 5.96 g/cm3
# Formation energy (no corrections) ... -18.4 kJ/mol of atoms
# Volume ... 120.2 Å³/f.u.
# Symmetry ... P4/mmm (123)

# MoH3Pb | the Alexandria database | PBE-GGA | optimized geometry
data_MoH3Pb
_cell_length_a 3.7820
_cell_length_b 3.7820
_cell_length_c 3.7820
_cell_angle_alpha 90.00
_cell_angle_beta 90.00
_cell_angle_gamma 90.00
_symmetry_space_group_name_H-M 'P 1'
_symmetry_Int_Tables_number 1
loop_
_symmetry_equiv_pos_as_xyz
'x,y,z'
loop_
_atom_site_label
_atom_site_fract_x
_atom_site_fract_y
_atom_site_fract_z
Mo1 0.0000 0.0000 0.0000
H1 0.0000 0.0000 0.5000
H2 0.0000 0.5000 0.0000
H3 0.5000 0.0000 0.0000
Pb1 0.5000 0.5000 0.5000
# Theoretical density ... 9.40 g/cm3
# Volume ... 54.1 Å³/f.u.
# ΔE to the lowest computed polymorph ... 0 meV per atom
# Symmetry ... Pm-3m (221)

# Dy2Y9Ho | the Alexandria database | PBE-GGA | optimized geometry
data_Dy2Y9Ho
_cell_length_a 5.0393
_cell_length_b 5.0393
_cell_length_c 15.1227
_cell_angle_alpha 90.00
_cell_angle_beta 90.00
_cell_angle_gamma 90.00
_symmetry_space_group_name_H-M 'P 1'
_symmetry_Int_Tables_number 1
loop_
_symmetry_equiv_pos_as_xyz
'x,y,z'
loop_
_atom_site_label
_atom_site_fract_x
_atom_site_fract_y
_atom_site_fract_z
Dy1 0.0000 0.0000 0.1668
Dy2 0.0000 0.0000 0.8332
Y1 0.0000 0.5000 0.0000
Y2 0.0000 0.5000 0.3335
Y3 0.0000 0.5000 0.6665
Y4 0.5000 0.0000 0.0000
Y5 0.5000 0.0000 0.3335
Y6 0.5000 0.0000 0.6665
Y7 0.5000 0.5000 0.1668
Y8 0.5000 0.5000 0.5000
Y9 0.5000 0.5000 0.8332
Ho1 0.0000 0.0000 0.5000
# Theoretical density ... 5.58 g/cm3
# Volume ... 384.0 Å³/f.u.
# Total energy ... -71.66 eV/cell
# Symmetry ... P4/mmm (123)

Which value of volume does entry 4 give? 173.2 Å³/f.u.

Which value of volume does entry 6 give? 232.4 Å³/f.u.